! Li2MnTlF (PBE+U, relaxed); values from VASP
! total magnetization = 4.79 μB/f.u.
! total energy = -3.47 eV per atom
&SYSTEM
  ibrav = 0, nat = 5, ntyp = 4
/
ATOMIC_SPECIES
Tl 204.38 Tl.upf
Li 6.94 Li.upf
F 19.00 F.upf
Mn 54.94 Mn.upf
CELL_PARAMETERS angstrom
-2.8306 -2.0411 4.4301
3.2980 -1.3566 1.4822
0.7728 4.8696 2.7373
ATOMIC_POSITIONS angstrom
Tl 0.6201 0.7360 4.3248
Li 0.3864 2.4348 1.3687
Li -1.4153 -1.0205 2.2150
F 1.6490 -0.6783 0.7411
Mn 0.0000 0.0000 0.0000